Here is crystalline HoGeNO at its relaxed geometry from OQMD. Energies are from PBE-GGA.

Values from the calculation:
- calculated total energy (hartree per atom) = -0.25589
- V (Å³/atom) = 13.6
- polymorph energy (0 for the lowest one) (meV per atom) = 349

Cell and atoms, written as CIF:
```
data_HoGeNO
_chemical_formula_sum 'Ho2 Ge2 N2 O2'
_symmetry_space_group_name_H-M 'P 1'
_symmetry_Int_Tables_number 1
_symmetry_space_group_name_Hall 'P 1'
_cell_length_a 4.759
_cell_length_b 4.759
_cell_length_c 4.803
_cell_angle_alpha 90.00
_cell_angle_beta 90.00
_cell_angle_gamma 90.00
loop_
_atom_site_label
_atom_site_fract_x
_atom_site_fract_y
_atom_site_fract_z
_atom_site_occupancy
Ho1 0.250 0.750 0.000 1
Ho2 0.750 0.250 0.000 1
Ge1 0.250 0.250 0.487 1
Ge2 0.750 0.750 0.513 1
N1 0.250 0.250 0.091 1
N2 0.750 0.750 0.909 1
O1 0.250 0.750 0.500 1
O2 0.750 0.250 0.500 1
```

Here is crystalline LuTeAuO at its relaxed geometry from OQMD. Energies are from PBE-GGA.

Values from the calculation:
- calculated total energy (hartree per atom) = -0.19504
- V (Å³/atom) = 24.1
- polymorph energy (0 for the lowest one) (meV per atom) = 446

Cell and atoms, written as CIF:
```
data_LuTeAuO
_chemical_formula_sum 'Lu2 Te2 Au2 O2'
_symmetry_space_group_name_H-M 'P 1'
_symmetry_Int_Tables_number 1
_symmetry_space_group_name_Hall 'P 1'
_cell_length_a 4.400
_cell_length_b 6.678
_cell_length_c 6.562
_cell_angle_alpha 90.00
_cell_angle_beta 90.00
_cell_angle_gamma 90.00
loop_
_atom_site_label
_atom_site_fract_x
_atom_site_fract_y
_atom_site_fract_z
_atom_site_occupancy
Lu1 0.000 0.159 0.000 1
Lu2 0.000 0.841 0.500 1
Te1 0.500 0.339 0.251 1
Te2 0.500 0.661 0.751 1
Au1 0.500 0.272 0.669 1
Au2 0.500 0.728 0.169 1
O1 0.000 0.075 0.699 1
O2 0.000 0.925 0.199 1
```

Here is crystalline SrNdTe2AuSe at its relaxed geometry from OQMD. Energies are from PBE-GGA.

Values from the calculation:
- calculated total energy (hartree per atom) = -0.16670
- V (Å³/atom) = 29.3

Cell and atoms, written as CIF:
```
data_SrNdTe2AuSe
_chemical_formula_sum 'Sr2 Nd2 Te4 Au2 Se2'
_symmetry_space_group_name_H-M 'P 1'
_symmetry_Int_Tables_number 1
_symmetry_space_group_name_Hall 'P 1'
_cell_length_a 7.760
_cell_length_b 7.760
_cell_length_c 10.923
_cell_angle_alpha 90.00
_cell_angle_beta 90.00
_cell_angle_gamma 147.72
loop_
_atom_site_label
_atom_site_fract_x
_atom_site_fract_y
_atom_site_fract_z
_atom_site_occupancy
Sr1 0.237 0.763 0.750 1
Sr2 0.763 0.237 0.250 1
Nd1 0.500 0.500 0.000 1
Nd2 0.500 0.500 0.500 1
Te1 0.151 0.849 0.059 1
Te2 0.151 0.849 0.441 1
Te3 0.849 0.151 0.559 1
Te4 0.849 0.151 0.941 1
Au1 0.028 0.972 0.250 1
Au2 0.972 0.028 0.750 1
Se1 0.416 0.584 0.250 1
Se2 0.584 0.416 0.750 1
```